# 1
## Li2MgTl2 (PBEsol)

Data for an optimized crystal structure of Li2MgTl2.

Unit cell a=7.826 b=7.826 c=3.445 alpha=90.00 beta=90.00 gamma=90.00
Space group P4/mbm (No. 127)
Inequivalent atoms, fractional coordinates:
Li 0.158 0.342 0.000 [4 per cell]
Mg 0.000 0.000 0.500 [2 per cell]
Tl 0.142 0.642 0.500 [4 per cell]

Computed properties:
electronic total energy = -0.08712 Ha/atom
formation energy from the elements = -0.188 eV/atom
size of the total moment = 0.0 μB per formula unit
calculated volume = 211.0 Å³/cell
mass density = 7.035 g/cm3

# 2
## LiMgTl (PBEsol)

Data for an optimized crystal structure of LiMgTl.

Unit cell a=4.7529 b=4.7529 c=3.1927 alpha=90.00 beta=90.00 gamma=120.00
Space group P3m1 (No. 156)
Inequivalent atoms, fractional coordinates:
Li 0.0000 0.0000 0.0000 [1 per cell]
Mg 0.6667 0.3333 0.4108 [1 per cell]
Tl 0.3333 0.6667 0.8046 [1 per cell]

Computed properties:
electronic total energy = -0.08372 Ha/atom
polymorph energy (0 for the lowest one) = 47 meV per atom
formation energy from the elements = -0.173 eV/atom
size of the total moment = 0.0 μB per formula unit
calculated volume = 62.5 Å³/cell
mass density = 6.264 g/cm3

# 3
## LiMgTl2 (PBEsol)

Data for an optimized crystal structure of LiMgTl2.

Unit cell a=4.136 b=4.441 c=9.871 alpha=90.00 beta=90.00 gamma=90.00
Space group Imm2 (No. 44)
Inequivalent atoms, fractional coordinates:
Li 0.000 0.000 0.000 [2 per cell]
Mg 0.000 0.500 0.751 [2 per cell]
Tl 0.000 0.000 0.503 [2 per cell]
Tl 0.000 0.500 0.254 [2 per cell]

Computed properties:
electronic total energy = -0.08732 Ha/atom
formation energy from the elements = -0.140 eV/atom
size of the total moment = 0.0 μB per formula unit
calculated volume = 181.3 Å³/cell
mass density = 8.059 g/cm3

# 4
## LiMgTl2 (PBEsol)

Data for an optimized crystal structure of LiMgTl2.

Unit cell a=4.864 b=4.864 c=7.499 alpha=90.00 beta=90.00 gamma=90.00
Space group I4/mmm (No. 139)
Inequivalent atoms, fractional coordinates:
Li 0.000 0.000 0.000 [2 per cell]
Mg 0.000 0.000 0.500 [2 per cell]
Tl 0.000 0.500 0.250 [4 per cell]

Computed properties:
electronic total energy = -0.08884 Ha/atom
formation energy from the elements = -0.182 eV/atom
size of the total moment = 0.0 μB per formula unit
calculated volume = 177.4 Å³/cell
mass density = 8.238 g/cm3

# 5
## LiMg2Tl (PBEsol)

Data for an optimized crystal structure of LiMg2Tl.

Unit cell a=6.889 b=6.889 c=6.889 alpha=90.00 beta=90.00 gamma=90.00
Space group Fm-3m (No. 225)
Inequivalent atoms, fractional coordinates:
Li 0.000 0.000 0.000 [4 per cell]
Mg 0.250 0.250 0.250 [8 per cell]
Tl 0.000 0.000 0.500 [4 per cell]

Computed properties:
electronic total energy = -0.07936 Ha/atom
polymorph energy (0 for the lowest one) = 0 meV per atom
formation energy from the elements = -0.152 eV/atom
size of the total moment = 0.0 μB per formula unit
calculated volume = 326.9 Å³/cell
mass density = 5.282 g/cm3

# 6
## LiMg2Tl (PBEsol)

Data for an optimized crystal structure of LiMg2Tl.

Unit cell a=3.286 b=4.092 c=6.335 alpha=90.00 beta=90.00 gamma=90.00
Space group Pmm2 (No. 25)
Inequivalent atoms, fractional coordinates:
Li 0.000 0.000 0.000 [1 per cell]
Mg 0.000 0.000 0.511 [1 per cell]
Mg 0.500 0.500 0.248 [1 per cell]
Tl 0.500 0.500 0.770 [1 per cell]

Computed properties:
electronic total energy = -0.07812 Ha/atom
polymorph energy (0 for the lowest one) = 34 meV per atom
formation energy from the elements = -0.118 eV/atom
size of the total moment = 0.0 μB per formula unit
calculated volume = 85.2 Å³/cell
mass density = 5.068 g/cm3

- Which of these has the lowest mass density?
  number 6

- Among the records above, which one has the highest calculated volume?
  number 5

- What is the mass density in the fifth record?
  5.282 g/cm3

What did the fifth record say?
## LiMg2Tl (PBEsol)

Data for an optimized crystal structure of LiMg2Tl.

Unit cell a=6.889 b=6.889 c=6.889 alpha=90.00 beta=90.00 gamma=90.00
Space group Fm-3m (No. 225)
Inequivalent atoms, fractional coordinates:
Li 0.000 0.000 0.000 [4 per cell]
Mg 0.250 0.250 0.250 [8 per cell]
Tl 0.000 0.000 0.500 [4 per cell]

Computed properties:
electronic total energy = -0.07936 Ha/atom
polymorph energy (0 for the lowest one) = 0 meV per atom
formation energy from the elements = -0.152 eV/atom
size of the total moment = 0.0 μB per formula unit
calculated volume = 326.9 Å³/cell
mass density = 5.282 g/cm3